VASP calculation (PBE) on crystalline Pm8Tl2Ni at its relaxed geometry.

Computed properties:
- total energy (eV for the cell shown) = -50.33
- SG = C2/m, No. 12
- energy above the lowest structure with this stoichiometry (meV per atom) = 6

Cell: 9.898 9.898 6.946 Å, 102.29 102.29 30.09°
Fractional coordinates of all 11 atoms:
Pm 0.014 0.014 0.279
Pm 0.210 0.210 0.813
Pm 0.356 0.356 0.511
Pm 0.410 0.410 0.036
Pm 0.590 0.590 0.964
Pm 0.644 0.644 0.489
Pm 0.790 0.790 0.187
Pm 0.986 0.986 0.721
Tl 0.184 0.184 0.257
Tl 0.816 0.816 0.743
Ni 0.500 0.500 0.500


VASP calculation (PBE) on crystalline Pm2Tl3Ni2 at its relaxed geometry.

Computed properties:
- total energy (eV for the cell shown) = -60.20
- SG = Cmmm, No. 65

Cell: 4.245 20.739 3.819 Å, 90.00 90.00 90.00°
Fractional coordinates of all 14 atoms:
Pm 0.000 0.176 0.000
Pm 0.000 0.824 0.000
Pm 0.500 0.324 0.000
Pm 0.500 0.676 0.000
Tl 0.000 0.000 0.000
Tl 0.000 0.417 0.500
Tl 0.000 0.583 0.500
Tl 0.500 0.083 0.500
Tl 0.500 0.500 0.000
Tl 0.500 0.917 0.500
Ni 0.000 0.281 0.500
Ni 0.000 0.719 0.500
Ni 0.500 0.219 0.500
Ni 0.500 0.781 0.500